No. 1
Below is NbB2Te at its PBEsol-relaxed geometry, with properties calculated at the SCAN level.

Cell: 5.374 5.374 9.410 Å, 90.00 90.00 90.00°
Space group I-42d (No. 122)
Asymmetric unit:
Nb 0.000 0.000 0.000 [4 per cell]
B 0.244 0.750 0.125 [8 per cell]
Te 0.000 0.000 0.500 [4 per cell]

uncorrected formation energy: 0.82 eV/atom
Fermi-level density of states: 7.406 states/eV per cell
final energy: -20.491 eV/atom

***

No. 2
Below is HfCo3P at its PBEsol-relaxed geometry, with properties calculated at the SCAN level.

Cell: 4.423 4.423 4.423 Å, 90.00 90.00 90.00°
Space group Pm-3m (No. 221)
Asymmetric unit:
Hf 0.000 0.000 0.000 [1 per cell]
Co 0.000 0.000 0.500 [3 per cell]
P 0.500 0.500 0.500 [1 per cell]

ΔH_f (0 K): 1704 meV per atom
Fermi-level density of states: 2.202 states/eV per cell
final energy: -23.293 eV/atom

***

No. 3
Below is TaAlHg2 at its PBEsol-relaxed geometry, with properties calculated at the SCAN level.

Cell: 3.0411 3.0411 27.9276 Å, 90.00 90.00 120.00°
Space group R-3m (No. 166, hexagonal axes)
Asymmetric unit:
Ta 0.0000 0.0000 0.0000 [3 per cell]
Al 0.0000 0.0000 0.5000 [3 per cell]
Hg 0.0000 0.0000 0.2476 [6 per cell]

ΔH_f (0 K): 227 meV per atom
Fermi-level density of states: 7.588 states/eV per cell
final energy: -52.440 eV/atom

***

No. 4
Below is MgTl7 at its PBEsol-relaxed geometry, with properties calculated at the SCAN level.

Cell: 9.556 9.556 9.556 Å, 90.00 90.00 90.00°
Space group Fm-3m (No. 225)
Asymmetric unit:
Mg 0.000 0.000 0.000 [4 per cell]
Tl 0.000 0.000 0.500 [4 per cell]
Tl 0.000 0.250 0.250 [24 per cell]

ΔH_f (0 K): 14 meV per atom
Fermi-level density of states: 16.034 states/eV per cell
final energy: -63.921 eV/atom

***

No. 5
Below is K2ReBr6 at its PBEsol-relaxed geometry, with properties calculated at the SCAN level.

Cell: 10.303 10.303 10.303 Å, 90.00 90.00 90.00°
Space group Fm-3m (No. 225)
Asymmetric unit:
K 0.250 0.250 0.250 [8 per cell]
Re 0.000 0.000 0.000 [4 per cell]
Br 0.000 0.000 0.243 [24 per cell]

uncorrected formation energy: -1.11 eV/atom
final energy: -23.831 eV/atom

***

No. 6
Below is Tl4Hg at its PBEsol-relaxed geometry, with properties calculated at the SCAN level.

Cell: 7.453 7.453 4.874 Å, 90.00 90.00 90.00°
Space group I4/m (No. 87)
Asymmetric unit:
Tl 0.106 0.299 0.000 [8 per cell]
Hg 0.000 0.000 0.500 [2 per cell]

ΔH_f (0 K): 25 meV per atom
Fermi-level density of states: 5.633 states/eV per cell
final energy: -71.495 eV/atom

***

No. 7
Below is V3S4 at its PBEsol-relaxed geometry, with properties calculated at the SCAN level.

Cell: 8.9550 8.9550 3.1922 Å, 90.00 90.00 120.00°
Space group P6_3/m (No. 176)
Asymmetric unit:
V 0.1190 0.6300 0.2500 [6 per cell]
S 0.0532 0.3456 0.2500 [6 per cell]
S 0.3333 0.6667 0.7500 [2 per cell]

uncorrected formation energy: -1.13 eV/atom
Fermi-level density of states: 6.714 states/eV per cell
final energy: -14.131 eV/atom
excess energy over the best structure of this formula in the dataset: 0.0464 eV/atom

***

No. 8
Below is LaAgAs2 at its PBEsol-relaxed geometry, with properties calculated at the SCAN level.

Cell: 5.801 20.928 5.768 Å, 90.00 90.00 90.00°
Space group Pbcm (No. 57)
Asymmetric unit:
La 0.013 0.115 0.250 [4 per cell]
La 0.486 0.619 0.750 [4 per cell]
Ag 0.234 0.750 0.000 [4 per cell]
Ag 0.263 0.250 0.000 [4 per cell]
As 0.015 0.164 0.750 [4 per cell]
As 0.278 0.001 0.529 [8 per cell]
As 0.486 0.665 0.250 [4 per cell]

ΔH_f (0 K): -946 meV per atom
Fermi-level density of states: 3.416 states/eV per cell
final energy: -29.659 eV/atom